# Ce2Cd5In PBE optimized geometry
data_Ce2Cd5In
_chemical_formula_sum 'Ce4 Cd10 In2'
_cell_length_a 9.163
_cell_length_b 9.163
_cell_length_c 9.931
_cell_angle_alpha 90.00
_cell_angle_beta 90.00
_cell_angle_gamma 149.98
_symmetry_space_group_name_H-M 'P 1'
_symmetry_Int_Tables_number 1
loop_
_symmetry_equiv_pos_as_xyz
'x,y,z'
loop_
_atom_site_label
_atom_site_fract_x
_atom_site_fract_y
_atom_site_fract_z
_atom_site_occupancy
Ce1 0.000 0.000 0.000 1
Ce2 0.000 0.000 0.500 1
Ce3 0.198 0.802 0.750 1
Ce4 0.802 0.198 0.250 1
Cd1 0.191 0.809 0.105 1
Cd2 0.191 0.809 0.395 1
Cd3 0.353 0.647 0.029 1
Cd4 0.353 0.647 0.471 1
Cd5 0.393 0.607 0.750 1
Cd6 0.607 0.393 0.250 1
Cd7 0.647 0.353 0.529 1
Cd8 0.647 0.353 0.971 1
Cd9 0.809 0.191 0.605 1
Cd10 0.809 0.191 0.895 1
In1 0.451 0.549 0.250 1
In2 0.549 0.451 0.750 1
# Electronic total energy ... -41.5 eV per cell
# Energy of formation from the pure elements ... -1.6 eV/f.u.
# Total magnetic moment ... 0.238 μB per atom
# Energy above the lowest structure with this stoichiometry ... 0.0 meV per atom
# V ... 417.2 Å³/cell



# Ce2Cd5In PBE optimized geometry
data_Ce2Cd5In
_chemical_formula_sum 'Ce4 Cd10 In2'
_cell_length_a 6.586
_cell_length_b 6.586
_cell_length_c 9.540
_cell_angle_alpha 90.00
_cell_angle_beta 90.00
_cell_angle_gamma 90.00
_symmetry_space_group_name_H-M 'P 1'
_symmetry_Int_Tables_number 1
loop_
_symmetry_equiv_pos_as_xyz
'x,y,z'
loop_
_atom_site_label
_atom_site_fract_x
_atom_site_fract_y
_atom_site_fract_z
_atom_site_occupancy
Ce1 0.000 0.500 0.000 1
Ce2 0.000 0.500 0.500 1
Ce3 0.500 0.000 0.000 1
Ce4 0.500 0.000 0.500 1
Cd1 0.000 0.000 0.001 1
Cd2 0.250 0.250 0.250 1
Cd3 0.250 0.250 0.750 1
Cd4 0.250 0.750 0.250 1
Cd5 0.250 0.750 0.750 1
Cd6 0.500 0.500 0.501 1
Cd7 0.750 0.250 0.250 1
Cd8 0.750 0.250 0.750 1
Cd9 0.750 0.750 0.250 1
Cd10 0.750 0.750 0.750 1
In1 0.000 0.000 0.499 1
In2 0.500 0.500 0.999 1
# Electronic total energy ... -41.1 eV per cell
# Energy of formation from the pure elements ... -1.4 eV/f.u.
# Total magnetic moment ... 0.272 μB per atom
# Energy above the lowest structure with this stoichiometry ... 22.4 meV per atom
# V ... 413.9 Å³/cell



# CeCd5In6 PBE optimized geometry
data_CeCd5In6
_chemical_formula_sum 'Ce1 Cd5 In6'
_cell_length_a 8.798
_cell_length_b 8.798
_cell_length_c 4.561
_cell_angle_alpha 104.50
_cell_angle_beta 104.50
_cell_angle_gamma 108.06
_symmetry_space_group_name_H-M 'P 1'
_symmetry_Int_Tables_number 1
loop_
_symmetry_equiv_pos_as_xyz
'x,y,z'
loop_
_atom_site_label
_atom_site_fract_x
_atom_site_fract_y
_atom_site_fract_z
_atom_site_occupancy
Ce1 0.000 0.000 0.000 1
Cd1 0.177 0.823 0.500 1
Cd2 0.336 0.664 0.000 1
Cd3 0.500 0.500 0.500 1
Cd4 0.664 0.336 0.000 1
Cd5 0.823 0.177 0.500 1
In1 0.077 0.415 0.243 1
In2 0.254 0.254 0.748 1
In3 0.415 0.077 0.243 1
In4 0.585 0.923 0.757 1
In5 0.746 0.746 0.252 1
In6 0.923 0.585 0.757 1
# Electronic total energy ... -27.6 eV per cell
# Energy of formation from the pure elements ... -0.7 eV/f.u.
# Total magnetic moment ... 0.075 μB per atom
# V ... 303.6 Å³/cell



# Ce2Cd3In2 PBE optimized geometry
data_Ce2Cd3In2
_chemical_formula_sum 'Ce4 Cd6 In4'
_cell_length_a 23.258
_cell_length_b 3.217
_cell_length_c 4.931
_cell_angle_alpha 90.00
_cell_angle_beta 102.19
_cell_angle_gamma 90.00
_symmetry_space_group_name_H-M 'P 1'
_symmetry_Int_Tables_number 1
loop_
_symmetry_equiv_pos_as_xyz
'x,y,z'
loop_
_atom_site_label
_atom_site_fract_x
_atom_site_fract_y
_atom_site_fract_z
_atom_site_occupancy
Ce1 0.139 0.000 0.137 1
Ce2 0.361 0.500 0.863 1
Ce3 0.639 0.500 0.137 1
Ce4 0.861 0.000 0.863 1
Cd1 0.000 0.500 0.000 1
Cd2 0.217 0.500 0.716 1
Cd3 0.283 0.000 0.284 1
Cd4 0.500 0.000 0.000 1
Cd5 0.717 0.000 0.716 1
Cd6 0.783 0.500 0.284 1
In1 0.075 0.500 0.574 1
In2 0.425 0.000 0.426 1
In3 0.575 0.000 0.574 1
In4 0.925 0.500 0.426 1
# Electronic total energy ... -42.7 eV per cell
# Energy of formation from the pure elements ... -1.3 eV/f.u.
# Total magnetic moment ... 0.356 μB per atom
# Energy above the lowest structure with this stoichiometry ... 9.4 meV per atom
# V ... 360.7 Å³/cell



# Ce3Cd2In PBE optimized geometry
data_Ce3Cd2In
_chemical_formula_sum 'Ce3 Cd2 In1'
_cell_length_a 4.080
_cell_length_b 4.080
_cell_length_c 10.219
_cell_angle_alpha 90.00
_cell_angle_beta 90.00
_cell_angle_gamma 90.00
_symmetry_space_group_name_H-M 'P 1'
_symmetry_Int_Tables_number 1
loop_
_symmetry_equiv_pos_as_xyz
'x,y,z'
loop_
_atom_site_label
_atom_site_fract_x
_atom_site_fract_y
_atom_site_fract_z
_atom_site_occupancy
Ce1 0.000 0.000 0.000 1
Ce2 0.000 0.000 0.337 1
Ce3 0.000 0.000 0.663 1
Cd1 0.500 0.500 0.169 1
Cd2 0.500 0.500 0.831 1
In1 0.500 0.500 0.500 1
# Electronic total energy ... -23.5 eV per cell
# Energy of formation from the pure elements ... -1.1 eV/f.u.
# Total magnetic moment ... 0.664 μB per atom
# V ... 170.1 Å³/cell



# Ce6CdIn5 PBE optimized geometry
data_Ce6CdIn5
_chemical_formula_sum 'Ce6 Cd1 In5'
_cell_length_a 8.867
_cell_length_b 8.867
_cell_length_c 8.867
_cell_angle_alpha 149.19
_cell_angle_beta 114.31
_cell_angle_gamma 74.30
_symmetry_space_group_name_H-M 'P 1'
_symmetry_Int_Tables_number 1
loop_
_symmetry_equiv_pos_as_xyz
'x,y,z'
loop_
_atom_site_label
_atom_site_fract_x
_atom_site_fract_y
_atom_site_fract_z
_atom_site_occupancy
Ce1 0.083 0.334 0.750 1
Ce2 0.249 0.000 0.249 1
Ce3 0.416 0.666 0.750 1
Ce4 0.584 0.334 0.250 1
Ce5 0.751 0.000 0.751 1
Ce6 0.917 0.666 0.250 1
Cd1 0.500 0.500 0.000 1
In1 0.000 0.500 0.500 1
In2 0.168 0.168 0.000 1
In3 0.334 0.834 0.500 1
In4 0.666 0.166 0.500 1
In5 0.832 0.832 0.000 1
# Electronic total energy ... -54.2 eV per cell
# Energy of formation from the pure elements ... -4.0 eV/f.u.
# Total magnetic moment ... 0.430 μB per atom
# V ... 320.2 Å³/cell



# Ce2CdIn3 PBE optimized geometry
data_Ce2CdIn3
_chemical_formula_sum 'Ce4 Cd2 In6'
_cell_length_a 10.150
_cell_length_b 9.482
_cell_length_c 6.195
_cell_angle_alpha 77.58
_cell_angle_beta 65.83
_cell_angle_gamma 36.59
_symmetry_space_group_name_H-M 'P 1'
_symmetry_Int_Tables_number 1
loop_
_symmetry_equiv_pos_as_xyz
'x,y,z'
loop_
_atom_site_label
_atom_site_fract_x
_atom_site_fract_y
_atom_site_fract_z
_atom_site_occupancy
Ce1 0.250 0.250 0.250 1
Ce2 0.250 0.750 0.750 1
Ce3 0.750 0.250 0.250 1
Ce4 0.750 0.750 0.750 1
Cd1 0.167 0.167 0.833 1
Cd2 0.833 0.833 0.167 1
In1 0.165 0.667 0.333 1
In2 0.332 0.332 0.668 1
In3 0.333 0.835 0.165 1
In4 0.667 0.165 0.835 1
In5 0.668 0.668 0.332 1
In6 0.835 0.333 0.667 1
# Electronic total energy ... -46.1 eV per cell
# Energy of formation from the pure elements ... -2.1 eV/f.u.
# Total magnetic moment ... 0.362 μB per atom
# V ... 317.1 Å³/cell



# Ce3CdIn5 PBE optimized geometry
data_Ce3CdIn5
_chemical_formula_sum 'Ce6 Cd2 In10'
_cell_length_a 9.258
_cell_length_b 9.258
_cell_length_c 6.554
_cell_angle_alpha 90.00
_cell_angle_beta 90.00
_cell_angle_gamma 120.00
_symmetry_space_group_name_H-M 'P 1'
_symmetry_Int_Tables_number 1
loop_
_symmetry_equiv_pos_as_xyz
'x,y,z'
loop_
_atom_site_label
_atom_site_fract_x
_atom_site_fract_y
_atom_site_fract_z
_atom_site_occupancy
Ce1 0.000 0.351 0.250 1
Ce2 0.000 0.649 0.750 1
Ce3 0.351 0.000 0.250 1
Ce4 0.351 0.351 0.750 1
Ce5 0.649 0.000 0.750 1
Ce6 0.649 0.649 0.250 1
Cd1 0.000 0.000 0.000 1
Cd2 0.000 0.000 0.500 1
In1 0.000 0.315 0.750 1
In2 0.000 0.685 0.250 1
In3 0.315 0.000 0.750 1
In4 0.315 0.315 0.250 1
In5 0.333 0.667 0.000 1
In6 0.333 0.667 0.500 1
In7 0.667 0.333 0.000 1
In8 0.667 0.333 0.500 1
In9 0.685 0.000 0.250 1
In10 0.685 0.685 0.750 1
# Electronic total energy ... -70.1 eV per cell
# Energy of formation from the pure elements ... -2.6 eV/f.u.
# Total magnetic moment ... 0.293 μB per atom
# V ... 486.5 Å³/cell



# CeCd4In PBE optimized geometry
data_CeCd4In
_chemical_formula_sum 'Ce1 Cd4 In1'
_cell_length_a 5.983
_cell_length_b 5.983
_cell_length_c 5.983
_cell_angle_alpha 60.00
_cell_angle_beta 60.00
_cell_angle_gamma 60.00
_symmetry_space_group_name_H-M 'P 1'
_symmetry_Int_Tables_number 1
loop_
_symmetry_equiv_pos_as_xyz
'x,y,z'
loop_
_atom_site_label
_atom_site_fract_x
_atom_site_fract_y
_atom_site_fract_z
_atom_site_occupancy
Ce1 0.000 0.000 0.000 1
Cd1 0.375 0.375 0.375 1
Cd2 0.375 0.375 0.876 1
Cd3 0.375 0.876 0.375 1
Cd4 0.876 0.375 0.375 1
In1 0.750 0.750 0.750 1
# Electronic total energy ... -12.7 eV per cell
# Energy of formation from the pure elements ... -0.4 eV/f.u.
# Total magnetic moment ... 0.176 μB per atom
# Energy above the lowest structure with this stoichiometry ... 121.5 meV per atom
# V ... 151.4 Å³/cell



# Ce6CdIn2 PBE optimized geometry
data_Ce6CdIn2
_chemical_formula_sum 'Ce6 Cd1 In2'
_cell_length_a 8.952
_cell_length_b 8.952
_cell_length_c 4.045
_cell_angle_alpha 95.92
_cell_angle_beta 95.92
_cell_angle_gamma 131.47
_symmetry_space_group_name_H-M 'P 1'
_symmetry_Int_Tables_number 1
loop_
_symmetry_equiv_pos_as_xyz
'x,y,z'
loop_
_atom_site_label
_atom_site_fract_x
_atom_site_fract_y
_atom_site_fract_z
_atom_site_occupancy
Ce1 0.036 0.683 0.173 1
Ce2 0.128 0.128 0.314 1
Ce3 0.317 0.964 0.827 1
Ce4 0.683 0.036 0.173 1
Ce5 0.872 0.872 0.686 1
Ce6 0.964 0.317 0.827 1
Cd1 0.500 0.500 0.000 1
In1 0.360 0.640 0.500 1
In2 0.640 0.360 0.500 1
# Electronic total energy ... -43.3 eV per cell
# Energy of formation from the pure elements ... -1.3 eV/f.u.
# Total magnetic moment ... 0.199 μB per atom
# Energy above the lowest structure with this stoichiometry ... 31.9 meV per atom
# V ... 235.1 Å³/cell



# Ce12CdIn3 PBE optimized geometry
data_Ce12CdIn3
_chemical_formula_sum 'Ce12 Cd1 In3'
_cell_length_a 4.810
_cell_length_b 4.810
_cell_length_c 19.161
_cell_angle_alpha 90.00
_cell_angle_beta 90.00
_cell_angle_gamma 90.00
_symmetry_space_group_name_H-M 'P 1'
_symmetry_Int_Tables_number 1
loop_
_symmetry_equiv_pos_as_xyz
'x,y,z'
loop_
_atom_site_label
_atom_site_fract_x
_atom_site_fract_y
_atom_site_fract_z
_atom_site_occupancy
Ce1 0.000 0.000 0.000 1
Ce2 0.000 0.000 0.249 1
Ce3 0.000 0.000 0.500 1
Ce4 0.000 0.000 0.751 1
Ce5 0.000 0.500 0.125 1
Ce6 0.000 0.500 0.375 1
Ce7 0.000 0.500 0.625 1
Ce8 0.000 0.500 0.875 1
Ce9 0.500 0.000 0.125 1
Ce10 0.500 0.000 0.375 1
Ce11 0.500 0.000 0.625 1
Ce12 0.500 0.000 0.875 1
Cd1 0.500 0.500 0.000 1
In1 0.500 0.500 0.250 1
In2 0.500 0.500 0.500 1
In3 0.500 0.500 0.750 1
# Electronic total energy ... -82.7 eV per cell
# Energy of formation from the pure elements ... -2.4 eV/f.u.
# Total magnetic moment ... 0.734 μB per atom
# V ... 443.3 Å³/cell



# CeCd4In PBE optimized geometry
data_CeCd4In
_chemical_formula_sum 'Ce1 Cd4 In1'
_cell_length_a 5.031
_cell_length_b 5.056
_cell_length_c 6.756
_cell_angle_alpha 93.23
_cell_angle_beta 90.51
_cell_angle_gamma 119.76
_symmetry_space_group_name_H-M 'P 1'
_symmetry_Int_Tables_number 1
loop_
_symmetry_equiv_pos_as_xyz
'x,y,z'
loop_
_atom_site_label
_atom_site_fract_x
_atom_site_fract_y
_atom_site_fract_z
_atom_site_occupancy
Ce1 0.000 0.000 0.000 1
Cd1 0.319 0.644 0.752 1
Cd2 0.348 0.692 0.247 1
Cd3 0.652 0.308 0.753 1
Cd4 0.681 0.356 0.248 1
In1 0.000 0.000 0.500 1
# Electronic total energy ... -13.5 eV per cell
# Energy of formation from the pure elements ... -1.1 eV/f.u.
# Total magnetic moment ... 0.176 μB per atom
# Energy above the lowest structure with this stoichiometry ... 0.0 meV per atom
# V ... 148.8 Å³/cell



Q: Which value of total magnetic moment does entry 4 give?
A: 0.356 μB per atom



Q: Number 4 is which compound?
A: Ce2Cd3In2



Repeat the ninth record exactly.
# CeCd4In PBE optimized geometry
data_CeCd4In
_chemical_formula_sum 'Ce1 Cd4 In1'
_cell_length_a 5.983
_cell_length_b 5.983
_cell_length_c 5.983
_cell_angle_alpha 60.00
_cell_angle_beta 60.00
_cell_angle_gamma 60.00
_symmetry_space_group_name_H-M 'P 1'
_symmetry_Int_Tables_number 1
loop_
_symmetry_equiv_pos_as_xyz
'x,y,z'
loop_
_atom_site_label
_atom_site_fract_x
_atom_site_fract_y
_atom_site_fract_z
_atom_site_occupancy
Ce1 0.000 0.000 0.000 1
Cd1 0.375 0.375 0.375 1
Cd2 0.375 0.375 0.876 1
Cd3 0.375 0.876 0.375 1
Cd4 0.876 0.375 0.375 1
In1 0.750 0.750 0.750 1
# Electronic total energy ... -12.7 eV per cell
# Energy of formation from the pure elements ... -0.4 eV/f.u.
# Total magnetic moment ... 0.176 μB per atom
# Energy above the lowest structure with this stoichiometry ... 121.5 meV per atom
# V ... 151.4 Å³/cell